[1]
{"formula": "Tc3Ru", "functional": "SCAN", "state": "PBEsol geometry", "cell": [[-1.3526, 4.3150, 2.3565], [1.3526, -4.3150, 2.3565], [1.3526, 4.3150, -2.3565]], "species": ["Tc", "Tc", "Tc", "Ru"], "frac_coords": [[0.0000, 0.0000, 0.0000], [0.0808, 0.3297, 0.7510], [0.5787, 0.3297, 0.2490], [0.4972, 0.9972, 0.5000]], "formation_energy_ev_per_atom": -0.06, "polymorph_energy_mev_per_atom": 1, "magmom_total_mub_per_fu": 0.000}



[2]
{"formula": "HfTc3As", "functional": "SCAN", "state": "PBEsol geometry", "cell": [[4.4637, 0.0000, 0.0000], [0.0000, 4.4637, 0.0000], [0.0000, 0.0000, 4.4637]], "species": ["Hf", "Tc", "Tc", "Tc", "As"], "frac_coords": [[0.0000, 0.0000, 0.0000], [0.0000, 0.5000, 0.5000], [0.5000, 0.0000, 0.5000], [0.5000, 0.5000, 0.0000], [0.5000, 0.5000, 0.5000]], "formation_energy_ev_per_atom": 0.49, "magmom_total_mub_per_fu": 0.001}



[3]
{"formula": "CrIClF2", "functional": "SCAN", "state": "PBEsol geometry", "cell": [[4.2069, 0.0000, 0.0000], [0.0000, 4.2069, 0.0000], [0.0000, 0.0000, 4.9446]], "species": ["Cr", "I", "Cl", "F", "F"], "frac_coords": [[0.0000, 0.0000, 0.0000], [0.5000, 0.5000, 0.0000], [0.0000, 0.0000, 0.5000], [0.0000, 0.5000, 0.5000], [0.5000, 0.0000, 0.5000]], "raw_formation_energy_ev_per_atom": -0.424, "magmom_total_mub_per_fu": 3.743}



[4]
{"formula": "YHgF2", "functional": "SCAN", "state": "PBEsol geometry", "cell": [[0.0000, 3.1622, 3.1622], [3.1622, 0.0000, 3.1622], [3.1622, 3.1622, 0.0000]], "species": ["Y", "Hg", "F", "F"], "frac_coords": [[0.0000, 0.0000, 0.0000], [0.5000, 0.5000, 0.5000], [0.2500, 0.2500, 0.2500], [0.7500, 0.7500, 0.7500]], "raw_formation_energy_ev_per_atom": -2.099, "magmom_total_mub_per_fu": 0.002}



[5]
{"formula": "RbMg2Bi2", "functional": "SCAN", "state": "PBEsol geometry", "cell": [[-2.4507, 2.4507, 6.7817], [2.4507, -2.4507, 6.7817], [2.4507, 2.4507, -6.7817]], "species": ["Rb", "Mg", "Mg", "Bi", "Bi"], "frac_coords": [[0.0000, 0.0000, 0.0000], [0.2500, 0.7500, 0.5000], [0.7500, 0.2500, 0.5000], [0.3749, 0.3749, 0.0000], [0.6251, 0.6251, 0.0000]], "formation_energy_ev_per_atom": -0.40, "magmom_total_mub_per_fu": 0.012}



[6]
{"formula": "Ga3SnPd", "functional": "SCAN", "state": "PBEsol geometry", "cell": [[4.7767, 0.0000, 0.0000], [0.0000, 4.7767, 0.0000], [0.0000, 0.0000, 4.7767]], "species": ["Ga", "Ga", "Ga", "Sn", "Pd"], "frac_coords": [[0.0000, 0.0000, 0.5000], [0.0000, 0.5000, 0.0000], [0.5000, 0.0000, 0.0000], [0.5000, 0.5000, 0.5000], [0.0000, 0.0000, 0.0000]], "formation_energy_ev_per_atom": 0.06, "magmom_total_mub_per_fu": 0.000}



[7]
{"formula": "SrTl2Pb", "functional": "SCAN", "state": "PBEsol geometry", "cell": [[0.0000, 3.9268, 3.9268], [3.9268, 0.0000, 3.9268], [3.9268, 3.9268, 0.0000]], "species": ["Sr", "Tl", "Tl", "Pb"], "frac_coords": [[0.0000, 0.0000, 0.0000], [0.5000, 0.5000, 0.5000], [0.7500, 0.7500, 0.7500], [0.2500, 0.2500, 0.2500]], "formation_energy_ev_per_atom": -0.34, "magmom_total_mub_per_fu": 0.000}



[8]
{"formula": "Pr2NiB10", "functional": "SCAN", "state": "PBEsol geometry", "cell": [[5.6056, 0.0000, 0.0000], [0.0000, 11.1782, 0.0000], [0.0000, 0.0000, 4.1856]], "species": ["Pr", "Pr", "Pr", "Pr", "Ni", "Ni", "B", "B", "B", "B", "B", "B", "B", "B", "B", "B", "B", "B", "B", "B", "B", "B", "B", "B", "B", "B"], "frac_coords": [[0.1885, 0.1371, 0.0000], [0.3115, 0.6371, 0.0000], [0.6885, 0.3629, 0.0000], [0.8115, 0.8629, 0.0000], [0.0000, 0.5000, 0.5000], [0.5000, 0.0000, 0.5000], [0.0310, 0.3135, 0.5000], [0.1269, 0.9589, 0.5000], [0.1591, 0.8024, 0.5000], [0.1993, 0.3865, 0.2001], [0.1993, 0.3865, 0.7999], [0.3007, 0.8865, 0.2001], [0.3007, 0.8865, 0.7999], [0.3409, 0.3024, 0.5000], [0.3731, 0.4589, 0.5000], [0.4690, 0.8135, 0.5000], [0.5310, 0.1865, 0.5000], [0.6269, 0.5411, 0.5000], [0.6591, 0.6976, 0.5000], [0.6993, 0.1135, 0.2001], [0.6993, 0.1135, 0.7999], [0.8007, 0.6135, 0.2001], [0.8007, 0.6135, 0.7999], [0.8409, 0.1976, 0.5000], [0.8731, 0.0411, 0.5000], [0.9690, 0.6865, 0.5000]], "formation_energy_ev_per_atom": -0.60, "magmom_total_mub_per_fu": 0.000}



[9]
{"formula": "Ta3NF", "functional": "SCAN", "state": "PBEsol geometry", "cell": [[4.1658, 0.0000, 0.0000], [0.0000, 4.1658, 0.0000], [0.0000, 0.0000, 4.1658]], "species": ["Ta", "Ta", "Ta", "N", "F"], "frac_coords": [[0.0000, 0.0000, 0.5000], [0.0000, 0.5000, 0.0000], [0.5000, 0.0000, 0.0000], [0.5000, 0.5000, 0.5000], [0.0000, 0.0000, 0.0000]], "raw_formation_energy_ev_per_atom": 1.241, "magmom_total_mub_per_fu": 0.000}



[10]
{"formula": "Rb2HgPd2", "functional": "SCAN", "state": "PBEsol geometry", "cell": [[6.9900, 0.0000, 0.0000], [0.0000, 6.9900, 0.0000], [0.0000, 0.0000, 5.3583]], "species": ["Rb", "Rb", "Rb", "Rb", "Hg", "Hg", "Pd", "Pd", "Pd", "Pd"], "frac_coords": [[0.1769, 0.3231, 0.0000], [0.3231, 0.8231, 0.0000], [0.6769, 0.1769, 0.0000], [0.8231, 0.6769, 0.0000], [0.0000, 0.0000, 0.5000], [0.5000, 0.5000, 0.5000], [0.1336, 0.6336, 0.5000], [0.3664, 0.1336, 0.5000], [0.6336, 0.8664, 0.5000], [0.8664, 0.3664, 0.5000]], "formation_energy_ev_per_atom": -0.07, "magmom_total_mub_per_fu": 0.000}



[11]
{"formula": "CaWS2N", "functional": "SCAN", "state": "PBEsol geometry", "cell": [[5.0615, 0.0000, 0.0000], [0.0000, 5.0615, 0.0000], [0.0000, 0.0000, 4.0989]], "species": ["Ca", "W", "S", "S", "N"], "frac_coords": [[0.0000, 0.0000, 0.0000], [0.5000, 0.5000, 0.5000], [0.0000, 0.5000, 0.0000], [0.5000, 0.0000, 0.0000], [0.0000, 0.0000, 0.5000]], "raw_formation_energy_ev_per_atom": 1.495, "magmom_total_mub_per_fu": 5.776}



[12]
{"formula": "CaTa2Tc", "functional": "SCAN", "state": "PBEsol geometry", "cell": [[2.9726, 0.0000, 0.0000], [0.0000, 4.2384, 0.0000], [-1.2303, 0.0000, 6.1965]], "species": ["Ca", "Ta", "Ta", "Tc"], "frac_coords": [[0.0000, 0.0000, 0.0000], [0.2733, 0.5000, 0.6929], [0.7267, 0.5000, 0.3071], [0.5000, 0.0000, 0.5000]], "formation_energy_ev_per_atom": 0.40, "polymorph_energy_mev_per_atom": 0, "magmom_total_mub_per_fu": 0.000}



[13]
{"formula": "SrSb2Au", "functional": "SCAN", "state": "PBEsol geometry", "cell": [[2.4810, 1.4324, 5.2253], [-2.4810, 1.4324, 5.2253], [0.0000, -2.8648, 5.2253]], "species": ["Sr", "Sb", "Sb", "Au"], "frac_coords": [[0.0000, 0.0000, 0.0000], [0.5195, 0.5195, 0.5195], [0.7873, 0.7873, 0.7873], [0.2233, 0.2233, 0.2233]], "raw_formation_energy_ev_per_atom": -0.465, "magmom_total_mub_per_fu": 0.000}



[14]
{"formula": "KLiHo2Mo4O16", "functional": "SCAN", "state": "PBEsol geometry", "cell": [[2.5714, -6.2083, 0.0000], [2.5714, 6.2083, 0.0000], [-1.2097, 0.0000, 19.2793]], "species": ["K", "K", "Li", "Li", "Ho", "Ho", "Ho", "Ho", "Mo", "Mo", "Mo", "Mo", "Mo", "Mo", "Mo", "Mo", "O", "O", "O", "O", "O", "O", "O", "O", "O", "O", "O", "O", "O", "O", "O", "O", "O", "O", "O", "O", "O", "O", "O", "O", "O", "O", "O", "O", "O", "O", "O", "O"], "frac_coords": [[0.0331, 0.9669, 0.7500], [0.9669, 0.0331, 0.2500], [0.3149, 0.6851, 0.7500], [0.6851, 0.3149, 0.2500], [0.1454, 0.8517, 0.5318], [0.1483, 0.8546, 0.9682], [0.8517, 0.1454, 0.0318], [0.8546, 0.1483, 0.4682], [0.2440, 0.7357, 0.3532], [0.2643, 0.7560, 0.1468], [0.4207, 0.5447, 0.9079], [0.4553, 0.5793, 0.5921], [0.5447, 0.4207, 0.4079], [0.5793, 0.4553, 0.0921], [0.7357, 0.2440, 0.8532], [0.7560, 0.2643, 0.6468], [0.0024, 0.2712, 0.8292], [0.0539, 0.5806, 0.4333], [0.0656, 0.4786, 0.2860], [0.0983, 0.4032, 0.1310], [0.1664, 0.5048, 0.9583], [0.2193, 0.2566, 0.5368], [0.2249, 0.3249, 0.3986], [0.2566, 0.2193, 0.0368], [0.2712, 0.0024, 0.3292], [0.2932, 0.4739, 0.6704], [0.3249, 0.2249, 0.8986], [0.4032, 0.0983, 0.6310], [0.4194, 0.9461, 0.0667], [0.4739, 0.2932, 0.1704], [0.4786, 0.0656, 0.7860], [0.4952, 0.8336, 0.5417], [0.5048, 0.1664, 0.4583], [0.5214, 0.9344, 0.2140], [0.5261, 0.7068, 0.8296], [0.5806, 0.0539, 0.9333], [0.5968, 0.9017, 0.3690], [0.6751, 0.7751, 0.1014], [0.7068, 0.5261, 0.3296], [0.7288, 0.9976, 0.6708], [0.7434, 0.7807, 0.9632], [0.7751, 0.6751, 0.6014], [0.7807, 0.7434, 0.4632], [0.8336, 0.4952, 0.0417], [0.9017, 0.5968, 0.8690], [0.9344, 0.5214, 0.7140], [0.9461, 0.4194, 0.5667], [0.9976, 0.7288, 0.1708]], "raw_formation_energy_ev_per_atom": -2.652, "magmom_total_mub_per_fu": 0.000}



[15]
{"formula": "AlNi3", "functional": "SCAN", "state": "PBEsol geometry", "cell": [[-1.8017, 1.8017, 3.3635], [1.8017, -1.8017, 3.3635], [1.8017, 1.8017, -3.3635]], "species": ["Al", "Ni", "Ni", "Ni"], "frac_coords": [[0.0000, 0.0000, 0.0000], [0.2500, 0.7500, 0.5000], [0.5000, 0.5000, 0.0000], [0.7500, 0.2500, 0.5000]], "formation_energy_ev_per_atom": -0.42, "magmom_total_mub_per_fu": 0.936}



[16]
{"formula": "MgPtRh2", "functional": "SCAN", "state": "PBEsol geometry", "cell": [[-1.9326, 1.9326, 3.8349], [1.9326, -1.9326, 3.8349], [1.9326, 1.9326, -3.8349]], "species": ["Mg", "Pt", "Rh", "Rh"], "frac_coords": [[0.0000, 0.0000, 0.0000], [0.2500, 0.7500, 0.5000], [0.5000, 0.5000, 0.0000], [0.7500, 0.2500, 0.5000]], "formation_energy_ev_per_atom": -0.42, "magmom_total_mub_per_fu": 0.001}



[17]
{"formula": "TaP2Br", "functional": "SCAN", "state": "PBEsol geometry", "cell": [[3.6636, -3.4713, 0.0000], [3.6636, 3.4713, 0.0000], [-1.0625, 0.0000, 2.7325]], "species": ["Ta", "P", "P", "Br"], "frac_coords": [[0.0000, 0.0000, 0.0000], [0.0000, 0.5000, 0.5000], [0.5000, 0.0000, 0.5000], [0.5000, 0.5000, 0.0000]], "polymorph_energy_mev_per_atom": 430, "raw_formation_energy_ev_per_atom": 0.552, "magmom_total_mub_per_fu": 0.000}



[18]
{"formula": "GaAgSeS", "functional": "SCAN", "state": "PBEsol geometry", "cell": [[-2.8378, 2.9309, 5.3886], [2.8378, -2.9309, 5.3886], [2.8378, 2.9309, -5.3886]], "species": ["Ga", "Ga", "Ag", "Ag", "Se", "Se", "S", "S"], "frac_coords": [[0.1273, 0.3773, 0.7500], [0.3727, 0.1227, 0.2500], [0.6432, 0.8932, 0.7500], [0.8568, 0.6068, 0.2500], [0.2500, 0.0163, 0.7663], [0.7500, 0.4837, 0.7337], [0.0389, 0.2500, 0.2889], [0.4611, 0.7500, 0.2111]], "raw_formation_energy_ev_per_atom": -0.535, "magmom_total_mub_per_fu": 0.000}



[19]
{"formula": "SrCr3Cd", "functional": "SCAN", "state": "PBEsol geometry", "cell": [[5.1372, 0.0000, 0.0000], [0.0000, 5.1372, 0.0000], [0.0000, 0.0000, 5.1372]], "species": ["Sr", "Cr", "Cr", "Cr", "Cd"], "frac_coords": [[0.0000, 0.0000, 0.0000], [0.0000, 0.5000, 0.5000], [0.5000, 0.0000, 0.5000], [0.5000, 0.5000, 0.0000], [0.5000, 0.5000, 0.5000]], "formation_energy_ev_per_atom": 0.80, "magmom_total_mub_per_fu": 14.291}



[20]
{"formula": "Ga3Ni5Ge2", "functional": "SCAN", "state": "PBEsol geometry", "cell": [[1.9280, -5.9747, 0.0000], [1.9280, 5.9747, 0.0000], [0.0000, 0.0000, 10.9875]], "species": ["Ga", "Ga", "Ga", "Ga", "Ga", "Ga", "Ni", "Ni", "Ni", "Ni", "Ni", "Ni", "Ni", "Ni", "Ni", "Ni", "Ge", "Ge", "Ge", "Ge"], "frac_coords": [[0.0000, 0.0000, 0.0000], [0.0000, 0.0000, 0.5000], [0.3310, 0.6690, 0.5227], [0.3310, 0.6690, 0.9773], [0.6690, 0.3310, 0.0227], [0.6690, 0.3310, 0.4773], [0.1587, 0.8413, 0.6319], [0.1587, 0.8413, 0.8681], [0.3389, 0.6611, 0.7500], [0.4800, 0.5200, 0.1320], [0.4800, 0.5200, 0.3680], [0.5200, 0.4800, 0.6320], [0.5200, 0.4800, 0.8680], [0.6611, 0.3389, 0.2500], [0.8413, 0.1587, 0.1319], [0.8413, 0.1587, 0.3681], [0.0381, 0.9619, 0.2500], [0.2899, 0.7101, 0.2500], [0.7101, 0.2899, 0.7500], [0.9619, 0.0381, 0.7500]], "formation_energy_ev_per_atom": -0.39, "magmom_total_mub_per_fu": 0.000}



| no. | total DFT energy (no corrections) (eV/cell) |
| --- | --- |
| 1 | -140.2 |
| 2 | -185.6 |
| 3 | -72.3 |
| 4 | -111.5 |
| 5 | -189.8 |
| 6 | -117.4 |
| 7 | -244.1 |
| 8 | -369.7 |
| 9 | -206.4 |
| 10 | -351.1 |
| 11 | -100.4 |
| 12 | -176.3 |
| 13 | -167.8 |
| 14 | -823.1 |
| 15 | -58.0 |
| 16 | -144.4 |
| 17 | -104.6 |
| 18 | -159.1 |
| 19 | -103.8 |
| 20 | -344.0 |